Entry 1:
Here is a crystal of Ca3MgCr relaxed with PBEsol from Alexandria via LeMat-Bulk. Energies are from meta-GGA SCAN.

POSCAR file:
```
Ca3MgCr
1.0
5.6277 0.0000 0.0000
0.0000 5.6277 0.0000
0.0000 0.0000 5.6277
Ca Mg Cr
3 1 1
Direct
0.0000 0.0000 0.5000
0.0000 0.5000 0.0000
0.5000 0.0000 0.0000
0.5000 0.5000 0.5000
0.0000 0.0000 0.0000
```

Values from the calculation:
Formation energy from the elements = 0.487 eV/atom



Entry 2:
Here is a crystal of Na3CaMgCr3Si8O24 relaxed with PBEsol from Alexandria via LeMat-Bulk. Energies are from meta-GGA SCAN.

POSCAR file:
```
Na3CaMgCr3Si8O24
1.0
5.2783 0.0000 0.0000
0.0000 8.7530 0.0000
-2.4309 0.0000 9.2094
Na Ca Mg Cr Si O
3 1 1 3 8 24
Direct
0.0000 0.0000 0.0000
0.0000 0.0990 0.5000
0.5000 0.6025 0.0000
0.5000 0.5017 0.5000
0.0000 0.7151 0.5000
0.0000 0.3944 0.0000
0.5000 0.2086 0.0000
0.5000 0.8941 0.5000
0.1884 0.3926 0.7112
0.1920 0.7122 0.2069
0.3103 0.2058 0.2894
0.3131 0.8965 0.7913
0.6869 0.8965 0.2087
0.6897 0.2058 0.7106
0.8080 0.7122 0.7931
0.8116 0.3926 0.2888
0.0961 0.7940 0.8500
0.1058 0.3161 0.3526
0.1907 0.5429 0.1392
0.2034 0.5559 0.6397
0.2262 0.2218 0.1116
0.2371 0.8881 0.6145
0.2726 0.3792 0.8890
0.2866 0.7196 0.3848
0.3011 0.0409 0.3601
0.3076 0.0638 0.8617
0.4003 0.2880 0.6473
0.4002 0.8143 0.1415
0.5997 0.2880 0.3527
0.5998 0.8143 0.8585
0.6924 0.0638 0.1383
0.6989 0.0409 0.6399
0.7134 0.7196 0.6152
0.7274 0.3792 0.1110
0.7629 0.8881 0.3855
0.7738 0.2218 0.8884
0.7966 0.5559 0.3603
0.8093 0.5429 0.8608
0.8942 0.3161 0.6474
0.9039 0.7940 0.1500
```

Values from the calculation:
Energy relative to the elements, uncorrected = -2.93 eV per atom



Entry 3:
Here is a crystal of CaMgCrPd2 relaxed with PBEsol from Alexandria via LeMat-Bulk. Energies are from meta-GGA SCAN.

POSCAR file:
```
CaMgCrPd2
1.0
4.7785 0.0000 0.0000
0.0000 4.7785 0.0000
0.0000 0.0000 5.2806
Ca Mg Cr Pd
1 1 1 2
Direct
0.0000 0.0000 0.0000
0.0000 0.0000 0.5000
0.5000 0.5000 0.5000
0.0000 0.5000 0.0000
0.5000 0.0000 0.0000
```

Values from the calculation:
Formation energy from the elements = 0.959 eV/atom



Entry 4:
Here is a crystal of CaMgSc2Cr relaxed with PBEsol from Alexandria via LeMat-Bulk. Energies are from meta-GGA SCAN.

POSCAR file:
```
CaMgSc2Cr
1.0
4.7350 0.0000 0.0000
0.0000 4.7350 0.0000
0.0000 0.0000 5.3637
Ca Mg Sc Cr
1 1 2 1
Direct
0.0000 0.0000 0.0000
0.5000 0.5000 0.0000
0.0000 0.5000 0.5000
0.5000 0.0000 0.5000
0.5000 0.5000 0.5000
```

Values from the calculation:
Formation energy from the elements = 0.380 eV/atom



Entry 5:
Here is a crystal of Ca3MnCr relaxed with PBEsol from Alexandria via LeMat-Bulk. Energies are from meta-GGA SCAN.

POSCAR file:
```
Ca3MnCr
1.0
5.3390 0.0000 0.0000
0.0000 5.3390 0.0000
0.0000 0.0000 5.3390
Ca Mn Cr
3 1 1
Direct
0.0000 0.0000 0.5000
0.0000 0.5000 0.0000
0.5000 0.0000 0.0000
0.0000 0.0000 0.0000
0.5000 0.5000 0.5000
```

Values from the calculation:
Excess energy over the best structure of this formula in the dataset = 0.000 eV/atom
Formation energy from the elements = 0.660 eV/atom



Entry 6:
Here is a crystal of Ca3MnCr relaxed with PBEsol from Alexandria via LeMat-Bulk. Energies are from meta-GGA SCAN.

POSCAR file:
```
Ca3MnCr
1.0
5.4895 0.0000 0.0000
0.0000 5.4895 0.0000
0.0000 0.0000 5.4895
Ca Mn Cr
3 1 1
Direct
0.0000 0.0000 0.5000
0.0000 0.5000 0.0000
0.5000 0.0000 0.0000
0.5000 0.5000 0.5000
0.0000 0.0000 0.0000
```

Values from the calculation:
Excess energy over the best structure of this formula in the dataset = 0.060 eV/atom
Formation energy from the elements = 0.720 eV/atom



no.,Fermi-level density of states (states/eV/atom)
1,0.978
2,0.000
3,0.436
4,0.730
5,1.113
6,1.463